(1)
PmCo2Bi: optimized geometry, PBE.

Structure (extended XYZ):
```
4
Lattice="4.5868 0.0000 0.0000 0.0000 4.5868 0.0000 0.0000 0.0000 3.6070" Properties=species:S:1:pos:R:3 pbc="T T T"
Pm 0.0000 0.0000 0.0000
Co 0.0000 2.2934 1.8035
Co 2.2934 0.0000 1.8035
Bi 2.2934 2.2934 0.0000
```

ΔE_f (meV/atom): 117
SG: P4/mmm
Spin magnetization (μB/cell): 1.55
Raw total energy (eV for the cell shown): -22.4

---

(2)
Pm5CoBi2: optimized geometry, PBE.

Structure (extended XYZ):
```
16
Lattice="2.8382 -8.2974 0.0000 2.8382 8.2974 0.0000 0.0000 0.0000 13.5975" Properties=species:S:1:pos:R:3 pbc="T T T"
Pm 2.8382 7.4187 8.3425
Pm 2.8382 7.4187 12.0537
Pm 2.8382 3.7645 8.1844
Pm 2.8382 3.7645 12.2118
Pm 2.8382 3.1282 3.3994
Pm 2.8382 -3.1282 10.1981
Pm 2.8382 -3.7645 1.3857
Pm 2.8382 -3.7645 5.4131
Pm 2.8382 -7.4187 1.5438
Pm 2.8382 -7.4187 5.2550
Co 2.8382 5.5902 10.1981
Co 2.8382 -5.5902 3.3994
Bi 2.8382 5.9137 1.3076
Bi 2.8382 5.9137 5.4912
Bi 2.8382 -5.9137 8.1063
Bi 2.8382 -5.9137 12.2899
```

ΔE_f (meV/atom): -129
SG: Cmcm
Spin magnetization (μB/cell): 0.00
Raw total energy (eV for the cell shown): -79.3

---

(3)
Pm3CoBi: optimized geometry, PBE.

Structure (extended XYZ):
```
5
Lattice="5.2801 0.0000 0.0000 0.0000 5.2801 0.0000 0.0000 0.0000 5.2801" Properties=species:S:1:pos:R:3 pbc="T T T"
Pm 0.0000 0.0000 2.6401
Pm 0.0000 2.6401 0.0000
Pm 2.6401 0.0000 0.0000
Co 0.0000 0.0000 0.0000
Bi 2.6401 2.6401 2.6401
```

ΔE_f (meV/atom): -331
SG: Pm-3m
Spin magnetization (μB/cell): 0.00
Raw total energy (eV for the cell shown): -26.9

---

(4)
Pm3CoBi: optimized geometry, PBE.

Structure (extended XYZ):
```
20
Lattice="9.9512 0.0000 0.0000 0.0000 6.7538 0.0000 -3.7306 0.0000 9.0173" Properties=species:S:1:pos:R:3 pbc="T T T"
Pm -0.6307 0.4321 3.2442
Pm -2.4959 2.9448 7.7528
Pm -0.1629 3.9012 4.7733
Pm 1.7024 6.2295 0.2646
Pm 0.8368 1.2310 7.1399
Pm 2.7020 2.1459 2.6312
Pm 3.5186 4.6079 6.3861
Pm 5.3839 5.5228 1.8775
Pm 4.5182 0.5243 8.7527
Pm 6.3835 2.8526 4.2440
Pm 8.7166 3.8090 1.2645
Pm 6.8513 6.3217 5.7732
Co -1.4286 1.6767 5.5895
Co 0.4367 1.7001 1.0808
Co 5.7840 5.0536 7.9365
Co 7.6493 5.0770 3.4278
Bi 0.6234 4.7588 7.8263
Bi 2.4887 5.3718 3.3177
Bi 3.7320 1.3819 5.6997
Bi 5.5972 1.9949 1.1910
```

ΔE_f (meV/atom): -323
SG: P2_1/c
Spin magnetization (μB/cell): 0.00
Raw total energy (eV for the cell shown): -107.4

---

(5)
Pm8Co2Bi: optimized geometry, PBE.

Structure (extended XYZ):
```
11
Lattice="4.3299 -6.8383 0.0000 4.3299 6.8383 0.0000 -1.2667 0.0000 5.4119" Properties=species:S:1:pos:R:3 pbc="T T T"
Pm -0.1495 0.0000 4.3182
Pm 2.0073 1.7651 2.3544
Pm 4.3299 3.4347 0.0000
Pm 2.0073 -1.7651 2.3544
Pm 5.3859 1.7651 3.0575
Pm 4.3299 -3.4347 0.0000
Pm 5.3859 -1.7651 3.0575
Pm 7.5427 0.0000 1.0937
Co 3.6966 4.0349 2.7060
Co 3.6966 -4.0349 2.7060
Bi 4.3299 0.0000 0.0000
```

ΔE_f (meV/atom): -129
SG: C2/m
Spin magnetization (μB/cell): 0.00
Raw total energy (eV for the cell shown): -57.5

---

(6)
Pm12Co6Bi: optimized geometry, PBE.

Structure (extended XYZ):
```
19
Lattice="-4.9929 4.9929 4.9929 4.9929 -4.9929 4.9929 4.9929 4.9929 -4.9929" Properties=species:S:1:pos:R:3 pbc="T T T"
Pm 4.9929 3.0473 -1.9182
Pm 3.0747 0.0000 1.9456
Pm 6.9111 0.0000 1.9456
Pm 1.9456 3.0747 0.0000
Pm 3.0473 -1.9182 4.9929
Pm 4.9929 3.0473 1.9182
Pm 0.0000 1.9456 3.0747
Pm 1.9456 6.9111 0.0000
Pm 3.0473 1.9182 4.9929
Pm -1.9182 4.9929 3.0473
Pm 1.9182 4.9929 3.0473
Pm 0.0000 1.9456 6.9111
Co 4.9929 1.1079 0.0000
Co 4.9929 0.0000 3.8850
Co 3.8850 4.9929 0.0000
Co 1.1079 0.0000 4.9929
Co 0.0000 4.9929 1.1079
Co 0.0000 3.8850 4.9929
Bi 0.0000 0.0000 0.0000
```

ΔE_f (meV/atom): -204
SG: Im-3
Spin magnetization (μB/cell): 0.00
Raw total energy (eV for the cell shown): -107.4

---

(7)
Pm12CoBi6: optimized geometry, PBE.

Structure (extended XYZ):
```
19
Lattice="6.7474 3.8956 4.1996 -6.7474 3.8956 4.1996 0.0000 -7.7912 4.1996" Properties=species:S:1:pos:R:3 pbc="T T T"
Pm -4.6481 -4.6534 6.9011
Pm -6.3540 1.6987 5.6977
Pm -1.4846 -1.8762 4.8863
Pm 1.7059 -6.3520 5.6977
Pm -0.8825 2.2238 4.8863
Pm -2.3672 0.3476 7.7126
Pm 2.3672 -0.3476 4.8863
Pm 0.8825 -2.2238 7.7126
Pm -1.7059 6.3520 6.9011
Pm 1.4847 1.8762 7.7125
Pm 6.3540 -1.6987 6.9011
Pm 4.6481 4.6534 5.6977
Co 0.0000 0.0000 0.0000
Bi -3.5682 0.5429 4.5408
Bi 1.3139 -3.3616 4.5408
Bi -2.2542 -2.8187 8.0581
Bi 2.2542 2.8187 4.5408
Bi -1.3139 3.3616 8.0581
Bi 3.5682 -0.5429 8.0581
```

ΔE_f (meV/atom): -478
SG: R-3
Spin magnetization (μB/cell): 0.00
Raw total energy (eV for the cell shown): -96.5

---

(8)
Pm3Co3Bi: optimized geometry, PBE.

Structure (extended XYZ):
```
14
Lattice="9.5080 0.0000 0.0000 -4.7540 8.2342 0.0000 0.0000 0.0000 4.2383" Properties=species:S:1:pos:R:3 pbc="T T T"
Pm -1.1303 3.1461 1.0596
Pm -1.4642 7.6400 1.0596
Pm 2.1594 2.5520 3.1787
Pm 2.5946 5.6822 1.0596
Pm 6.2182 0.5941 3.1787
Pm 5.8844 5.0881 3.1787
Co -0.5611 1.2289 3.1787
Co -3.4092 8.1057 3.1787
Co 0.7837 1.1004 1.0596
Co 3.9703 7.1338 3.1787
Co 8.1632 0.1285 1.0596
Co 5.3152 7.0053 1.0596
Bi 0.0000 5.4895 3.1787
Bi 4.7540 2.7447 1.0596
```

ΔE_f (meV/atom): -280
SG: P6_3/m
Spin magnetization (μB/cell): 5.00
Raw total energy (eV for the cell shown): -82.8

---

(9)
Pm12Co2Bi5: optimized geometry, PBE.

Structure (extended XYZ):
```
19
Lattice="8.9669 -3.8496 0.0000 8.9669 3.8496 0.0000 -2.7715 0.0000 9.4859" Properties=species:S:1:pos:R:3 pbc="T T T"
Pm -0.8969 0.0000 3.1503
Pm 5.0816 1.8452 4.0233
Pm 3.7976 1.8835 8.8656
Pm 11.3646 1.8835 0.6203
Pm 10.0806 1.8452 5.4626
Pm 8.1851 0.0000 2.5034
Pm 6.9771 0.0000 6.9825
Pm 5.0816 -1.8452 4.0233
Pm 3.7976 -1.8835 8.8656
Pm 11.3646 -1.8835 0.6203
Pm 10.0806 -1.8452 5.4626
Pm 16.0591 0.0000 6.3356
Co 7.5811 1.5123 4.7430
Co 7.5811 -1.5123 4.7430
Bi 0.0000 0.0000 0.0000
Bi 4.8713 0.0000 1.3260
Bi 3.6212 0.0000 6.3099
Bi 11.5410 0.0000 3.1760
Bi 10.2908 0.0000 8.1599
```

ΔE_f (meV/atom): -383
SG: C2/m
Spin magnetization (μB/cell): 0.00
Raw total energy (eV for the cell shown): -97.9

---

(10)
Pm12Co5Bi: optimized geometry, PBE.

Structure (extended XYZ):
```
18
Lattice="-4.8650 4.9043 5.0660 4.8650 -4.9043 5.0660 4.8650 4.9043 -5.0660" Properties=species:S:1:pos:R:3 pbc="T T T"
Pm 4.8650 3.0229 -3.0674
Pm 2.8909 1.8166 0.0000
Pm 6.8391 1.8166 0.0000
Pm 1.8556 4.9043 -1.9058
Pm 3.0095 0.0000 3.1602
Pm 0.0000 1.8813 1.9987
Pm 4.8650 3.0229 3.0674
Pm 1.8556 4.9043 1.9058
Pm 3.0095 0.0000 6.9719
Pm -1.9741 3.0877 5.0660
Pm 1.9741 3.0877 5.0660
Pm 0.0000 1.8813 8.1334
Co 0.0000 0.0000 0.0000
Co 4.8650 0.0000 1.1197
Co 0.0000 3.7439 0.0000
Co 0.0000 6.0646 0.0000
Co 0.0000 4.9043 3.9463
Bi 0.0000 0.0000 5.0660
```

ΔE_f (meV/atom): -196
SG: Immm
Spin magnetization (μB/cell): 0.00
Raw total energy (eV for the cell shown): -99.9

---

(11)
Pm4CoBi: optimized geometry, PBE.

Structure (extended XYZ):
```
12
Lattice="2.7382 -10.0836 0.0000 2.7382 10.0836 0.0000 0.0000 0.0000 6.5930" Properties=species:S:1:pos:R:3 pbc="T T T"
Pm 2.7382 9.2064 3.2965
Pm 2.7382 6.1690 1.6351
Pm 2.7382 6.1710 4.9652
Pm 2.7382 1.9457 3.3005
Pm 2.7382 -1.9457 0.0040
Pm 2.7382 -6.1710 1.6687
Pm 2.7382 -6.1690 4.9316
Pm 2.7382 -9.2064 0.0000
Co 2.7382 8.3628 0.0060
Co 2.7382 -8.3628 3.3025
Bi 2.7382 3.0256 0.0035
Bi 2.7382 -3.0256 3.3000
```

ΔE_f (meV/atom): -242
SG: Cmc2_1
Spin magnetization (μB/cell): 0.00
Raw total energy (eV for the cell shown): -62.9

---

(12)
PmCoBiRh: optimized geometry, PBE.

Structure (extended XYZ):
```
4
Lattice="0.0000 3.4109 3.4109 3.4109 0.0000 3.4109 3.4109 3.4109 0.0000" Properties=species:S:1:pos:R:3 pbc="T T T"
Pm 0.0000 0.0000 0.0000
Co 5.1163 5.1163 5.1163
Bi 3.4109 3.4109 3.4109
Rh 1.7054 1.7054 1.7054
```

ΔE_f (meV/atom): -226
SG: F-43m
Spin magnetization (μB/cell): 1.94
Raw total energy (eV for the cell shown): -24.0

---

> The highest ΔE_f belongs to which entry?

PmCo2Bi

---

> The highest spin magnetization belongs to which entry?

Pm3Co3Bi